1.
Below is a relaxed structure of TbPrGa, with properties calculated at the PBE level. Values from VASP.

Cell and atoms, written as Quantum ESPRESSO input:
```
&SYSTEM
  ibrav = 0, nat = 12, ntyp = 3
/
ATOMIC_SPECIES
Tb 158.93 Tb.upf
Pr 140.91 Pr.upf
Ga 69.72 Ga.upf
ATOMIC_POSITIONS crystal
Tb 0.0000 0.0000 0.0000
Tb 0.0000 0.5000 0.5000
Tb 0.5000 0.0000 0.5000
Tb 0.5000 0.5000 0.0000
Pr 0.0000 0.0000 0.5000
Pr 0.0000 0.5000 0.0000
Pr 0.5000 0.0000 0.0000
Pr 0.5000 0.5000 0.5000
Ga 0.2500 0.2500 0.7500
Ga 0.2500 0.7500 0.2500
Ga 0.7500 0.2500 0.2500
Ga 0.7500 0.7500 0.7500
CELL_PARAMETERS angstrom
7.1599 0.0000 0.0000
0.0000 7.1599 0.0000
0.0000 0.0000 7.1599
```

=====

2.
Below is a relaxed structure of TbPrGa, with properties calculated at the PBE level. Values from VASP.

Cell and atoms, written as Quantum ESPRESSO input:
```
&SYSTEM
  ibrav = 0, nat = 6, ntyp = 3
/
ATOMIC_SPECIES
Tb 158.93 Tb.upf
Pr 140.91 Pr.upf
Ga 69.72 Ga.upf
ATOMIC_POSITIONS crystal
Tb 0.0000 0.0000 0.0000
Tb 0.3333 0.6667 0.5000
Pr 0.6667 0.3333 0.2220
Pr 0.6667 0.3333 0.7780
Ga 0.0000 0.0000 0.3522
Ga 0.0000 0.0000 0.6478
CELL_PARAMETERS angstrom
4.9644 0.0000 0.0000
-2.4822 4.2993 0.0000
0.0000 0.0000 8.7242
```

=====

3.
Below is a relaxed structure of Tb3Pr2Ga4, with properties calculated at the PBE level. Values from VASP.

Cell and atoms, written as Quantum ESPRESSO input:
```
&SYSTEM
  ibrav = 0, nat = 18, ntyp = 3
/
ATOMIC_SPECIES
Tb 158.93 Tb.upf
Pr 140.91 Pr.upf
Ga 69.72 Ga.upf
ATOMIC_POSITIONS crystal
Tb 0.0000 0.0000 0.0000
Tb 0.0320 0.4680 0.2500
Tb 0.4680 0.0320 0.7500
Tb 0.5000 0.5000 0.5000
Tb 0.5320 0.9680 0.2500
Tb 0.9680 0.5320 0.7500
Pr 0.1061 0.8939 0.4210
Pr 0.3939 0.6061 0.9210
Pr 0.6061 0.3939 0.0790
Pr 0.8939 0.1061 0.5790
Ga 0.1840 0.8160 0.0404
Ga 0.2142 0.2858 0.2500
Ga 0.2858 0.2142 0.7500
Ga 0.3160 0.6840 0.5404
Ga 0.6840 0.3160 0.4596
Ga 0.7142 0.7858 0.2500
Ga 0.7858 0.7142 0.7500
Ga 0.8160 0.1840 0.9596
CELL_PARAMETERS angstrom
3.4768 -8.0291 0.0000
3.4768 8.0291 0.0000
0.0000 0.0000 8.6047
```

=====

4.
Below is a relaxed structure of Tb3PrGa2, with properties calculated at the PBE level. Values from VASP.

Cell and atoms, written as Quantum ESPRESSO input:
```
&SYSTEM
  ibrav = 0, nat = 12, ntyp = 3
/
ATOMIC_SPECIES
Tb 158.93 Tb.upf
Pr 140.91 Pr.upf
Ga 69.72 Ga.upf
ATOMIC_POSITIONS crystal
Tb 0.0000 0.0541 0.0000
Tb 0.0000 0.3161 0.3619
Tb 0.0000 0.6839 0.8619
Tb 0.0000 0.9459 0.5000
Tb 0.5000 0.1728 0.7047
Tb 0.5000 0.8272 0.2047
Pr 0.5000 0.4499 0.0717
Pr 0.5000 0.5501 0.5717
Ga 0.0000 0.3552 0.8200
Ga 0.0000 0.6448 0.3200
Ga 0.5000 0.1388 0.2438
Ga 0.5000 0.8612 0.7438
CELL_PARAMETERS angstrom
5.0185 0.0000 0.0000
0.0000 9.6328 0.0000
0.0000 0.0000 6.6481
```

=====

Number 1: relative energy among the computed polymorphs 167.8 meV per atom, energy of formation from the pure elements -0.234 eV per atom, theoretical density 6.69 g cm⁻³. Number 2: relative energy among the computed polymorphs 278.8 meV per atom, energy of formation from the pure elements -0.123 eV per atom, theoretical density 6.59 g cm⁻³. Number 3: relative energy among the computed polymorphs 142.8 meV per atom, energy of formation from the pure elements -0.424 eV per atom, theoretical density 7.17 g cm⁻³. Number 4: relative energy among the computed polymorphs 0.0 meV per atom, energy of formation from the pure elements -0.406 eV per atom, theoretical density 7.82 g cm⁻³.